[1]
The following is a DFT calculation (PBE-GGA) of crystalline LiSmAu6 at its relaxed geometry.

POSCAR file:
```
LiSmAu6
1.0
3.9454 2.2779 3.3248
-3.9454 2.2779 3.3248
0.0000 -4.5557 3.3248
Li Sm Au
1 1 6
Direct
0.0000 0.0000 0.0000
0.5000 0.5000 0.5000
0.0249 0.6704 0.6704
0.3296 0.3296 0.9751
0.3296 0.9751 0.3296
0.6704 0.0249 0.6704
0.6704 0.6704 0.0249
0.9751 0.3296 0.3296
```

Computed properties:
- electronic total energy (eV per atom) = -3.55
- symmetry = R-3m, No. 166

[2]
The following is a DFT calculation (PBE-GGA) of crystalline YCo2Ni at its relaxed geometry.

POSCAR file:
```
YCo2Ni
1.0
3.1299 0.0000 0.0000
0.0000 3.8975 0.0000
-1.2519 0.0000 5.0680
Y Co Ni
1 2 1
Direct
0.0000 0.0000 0.0000
0.3891 0.0000 0.5001
0.7534 0.5000 0.3963
0.4051 0.5000 0.7739
```

Computed properties:
- electronic total energy (eV per atom) = -6.50
- symmetry = Pm, No. 6

[3]
The following is a DFT calculation (PBE-GGA) of crystalline Er3RuC3 at its relaxed geometry.

POSCAR file:
```
Er3RuC3
1.0
4.3117 -5.1605 0.0000
4.3117 5.1605 0.0000
0.0000 0.0000 5.0231
Er Ru C
6 2 6
Direct
0.1084 0.8916 0.7500
0.1635 0.4029 0.7500
0.4029 0.1635 0.2500
0.5971 0.8365 0.7500
0.8365 0.5971 0.2500
0.8916 0.1084 0.2500
0.3076 0.6924 0.2500
0.6924 0.3076 0.7500
0.1196 0.8804 0.2500
0.1662 0.4152 0.2500
0.4152 0.1662 0.7500
0.5848 0.8338 0.2500
0.8338 0.5848 0.7500
0.8804 0.1196 0.7500
```

Computed properties:
- electronic total energy (eV per atom) = -7.58
- symmetry = Cmcm, No. 63

[4]
The following is a DFT calculation (PBE-GGA) of crystalline LaHo5Er6 at its relaxed geometry.

POSCAR file:
```
LaHo5Er6
1.0
3.0610 -5.2994 0.0000
3.0610 5.2994 0.0000
-2.0389 0.0000 11.5363
La Ho Er
1 5 6
Direct
0.0000 0.0000 0.0000
0.1670 0.8330 0.5000
0.3334 0.6666 0.0000
0.5000 0.5000 0.5000
0.6666 0.3334 0.0000
0.8330 0.1670 0.5000
0.0839 0.4185 0.2527
0.2509 0.2509 0.7474
0.4185 0.0839 0.2527
0.5815 0.9161 0.7473
0.7491 0.7491 0.2526
0.9161 0.5815 0.7473
```

Computed properties:
- electronic total energy (eV per atom) = -4.58
- symmetry = C2/m, No. 12

[5]
The following is a DFT calculation (PBE-GGA) of crystalline Th3In3Hg2 at its relaxed geometry.

POSCAR file:
```
Th3In3Hg2
1.0
2.3680 -5.8030 0.0000
2.3680 5.8030 0.0000
0.0000 0.0000 15.9711
Th In Hg
6 6 4
Direct
0.0752 0.9248 0.6140
0.0752 0.9248 0.8860
0.3497 0.6503 0.7500
0.6503 0.3497 0.2500
0.9248 0.0752 0.1140
0.9248 0.0752 0.3860
0.3754 0.6246 0.2500
0.3831 0.6169 0.5375
0.3831 0.6169 0.9625
0.6169 0.3831 0.0375
0.6169 0.3831 0.4625
0.6246 0.3754 0.7500
0.2148 0.7852 0.1085
0.2148 0.7852 0.3915
0.7852 0.2148 0.6085
0.7852 0.2148 0.8915
```

Computed properties:
- electronic total energy (eV per atom) = -4.16
- symmetry = Cmcm, No. 63

[6]
The following is a DFT calculation (PBE-GGA) of crystalline OsI3O at its relaxed geometry.

POSCAR file:
```
OsI3O
1.0
5.4294 0.0000 0.0000
0.0000 5.4294 0.0000
0.0000 0.0000 5.4294
Os I O
1 3 1
Direct
0.0000 0.0000 0.0000
0.0000 0.0000 0.5000
0.0000 0.5000 0.0000
0.5000 0.0000 0.0000
0.5000 0.5000 0.5000
```

Computed properties:
- raw formation energy (eV/atom) = 1.085
- symmetry = Pm-3m, No. 221

[7]
The following is a DFT calculation (PBE-GGA) of crystalline ZrTaMn2 at its relaxed geometry.

POSCAR file:
```
ZrTaMn2
1.0
0.0000 3.1365 3.1365
3.1365 0.0000 3.1365
3.1365 3.1365 0.0000
Zr Ta Mn
1 1 2
Direct
0.0000 0.0000 0.0000
0.7500 0.7500 0.7500
0.2500 0.2500 0.2500
0.5000 0.5000 0.5000
```

Computed properties:
- electronic total energy (eV per atom) = -9.46
- symmetry = F-43m, No. 216

[8]
The following is a DFT calculation (PBE-GGA) of crystalline TlSb6O12 at its relaxed geometry.

POSCAR file:
```
TlSb6O12
1.0
5.2850 3.0513 2.7945
-5.2850 3.0513 2.7945
0.0000 -6.1026 2.7945
Tl Sb O
1 6 12
Direct
0.0000 0.0000 0.0000
0.2291 0.2291 0.6063
0.2291 0.6063 0.2291
0.3937 0.7709 0.7709
0.6063 0.2291 0.2291
0.7709 0.3937 0.7709
0.7709 0.7709 0.3937
0.1182 0.5000 0.8818
0.1182 0.8818 0.5000
0.1813 0.4471 0.4471
0.4471 0.1813 0.4471
0.4471 0.4471 0.1813
0.5000 0.1182 0.8818
0.5000 0.8818 0.1182
0.5529 0.5529 0.8187
0.5529 0.8187 0.5529
0.8187 0.5529 0.5529
0.8818 0.1182 0.5000
0.8818 0.5000 0.1182
```

Computed properties:
- raw formation energy (eV/atom) = -0.900
- symmetry = R-3m, No. 166

[9]
The following is a DFT calculation (PBE-GGA) of crystalline Ti2CoIr at its relaxed geometry.

POSCAR file:
```
Ti2CoIr
1.0
2.9766 0.0000 0.0000
0.0000 2.9766 0.0000
0.0000 0.0000 6.4013
Ti Co Ir
2 1 1
Direct
0.0000 0.0000 0.2356
0.0000 0.0000 0.7644
0.5000 0.5000 0.0000
0.5000 0.5000 0.5000
```

Computed properties:
- electronic total energy (eV per atom) = -8.56
- symmetry = P4/mmm, No. 123

[10]
The following is a DFT calculation (PBE-GGA) of crystalline Co5Tc at its relaxed geometry.

POSCAR file:
```
Co5Tc
1.0
1.7780 -5.3532 0.0000
1.7780 5.3532 0.0000
0.0000 0.0000 3.5511
Co Tc
5 1
Direct
0.0000 0.0000 0.0000
0.1684 0.8316 0.5000
0.3305 0.6695 0.0000
0.6695 0.3305 0.0000
0.8316 0.1684 0.5000
0.5000 0.5000 0.5000
```

Computed properties:
- electronic total energy (eV per atom) = -7.55
- symmetry = Cmmm, No. 65

[11]
The following is a DFT calculation (PBE-GGA) of crystalline CdAsAu2 at its relaxed geometry.

POSCAR file:
```
CdAsAu2
1.0
-2.0828 2.0828 4.4106
2.0828 -2.0828 4.4106
2.0828 2.0828 -4.4106
Cd As Au
1 1 2
Direct
0.0000 0.0000 0.0000
0.2500 0.7500 0.5000
0.5000 0.5000 0.0000
0.7500 0.2500 0.5000
```

Computed properties:
- electronic total energy (eV per atom) = -2.98
- symmetry = I-4m2, No. 119

[12]
The following is a DFT calculation (PBE-GGA) of crystalline MoCl2 at its relaxed geometry.

POSCAR file:
```
MoCl2
1.0
7.9543 0.0000 0.0000
-3.9772 6.8886 0.0000
0.0000 0.0000 3.5193
Mo Cl
3 6
Direct
0.0000 0.0000 0.0000
0.3333 0.6667 0.5000
0.6667 0.3333 0.5000
0.0000 0.2228 0.5000
0.0000 0.5538 0.0000
0.2228 0.0000 0.5000
0.4462 0.4462 0.0000
0.5538 0.0000 0.0000
0.7772 0.7772 0.5000
```

Computed properties:
- raw formation energy (eV/atom) = 0.157
- symmetry = P-62m, No. 189

Number 1: ρ 12.4 Mg/m³. Number 2: ρ 7.1 Mg/m³. Number 3: ρ 9.5 Mg/m³. Number 4: ρ 8.7 Mg/m³. Number 5: ρ 10.9 Mg/m³. Number 6: ρ 6.1 Mg/m³. Number 7: ρ 10.3 Mg/m³. Number 8: ρ 6.9 Mg/m³. Number 9: ρ 10.2 Mg/m³. Number 10: ρ 9.6 Mg/m³. Number 11: ρ 12.6 Mg/m³. Number 12: ρ 4.3 Mg/m³.